(1)
The following is a DFT calculation (GGA-PBE) of a relaxed structure of La2Nd5Sm.

Summary:
symmetry = Pbam (55)
E_tot = -76.60 eV per cell

Cell: 7.3728 14.7489 5.2285 Å, 90.00 90.00 90.00°
Last column: nearest neighbours and their distance in Å.
Fractional positions:
La  0.2503  0.1248  0.0000  10 Nd 3.68-3.70, 2 Sm 3.69
La  0.2497  0.6248  0.0000  10 Nd 3.68-3.70, 2 Sm 3.69
La  0.7503  0.3752  0.0000  10 Nd 3.68-3.70, 2 Sm 3.69
La  0.7497  0.8752  0.0000  10 Nd 3.68-3.70, 2 Sm 3.69
Nd  0.0000  0.0000  0.5000  2 Sm 3.69, 6 Nd 3.69, 4 La 3.69
Nd  0.0000  0.2505  0.5000  1 Sm 3.68, 7 Nd 3.69-3.70, 4 La 3.69-3.70
Nd  0.0000  0.7495  0.5000  1 Sm 3.68, 7 Nd 3.69-3.70, 4 La 3.69-3.70
Nd  0.2498  0.3753  0.0000  4 La 3.68-3.70, 2 Sm 3.69, 6 Nd 3.69-3.70
Nd  0.2502  0.8753  0.0000  4 La 3.68-3.70, 2 Sm 3.69, 6 Nd 3.69-3.70
Nd  0.5000  0.2495  0.5000  1 Sm 3.68, 7 Nd 3.69-3.70, 4 La 3.69-3.70
Nd  0.5000  0.5000  0.5000  2 Sm 3.69, 6 Nd 3.69, 4 La 3.69
Nd  0.5000  0.7505  0.5000  1 Sm 3.68, 7 Nd 3.69-3.70, 4 La 3.69-3.70
Nd  0.7498  0.1247  0.0000  4 La 3.68-3.70, 2 Sm 3.69, 6 Nd 3.69-3.70
Nd  0.7502  0.6247  0.0000  4 La 3.68-3.70, 2 Sm 3.69, 6 Nd 3.69-3.70
Sm  0.0000  0.5000  0.5000  8 Nd 3.68-3.69, 4 La 3.69
Sm  0.5000  0.0000  0.5000  8 Nd 3.68-3.69, 4 La 3.69

***

(2)
The following is a DFT calculation (GGA-PBE) of a relaxed structure of La5Nd2Sm2.

Summary:
energy relative to the lowest polymorph listed for this composition = 0.00 eV per formula unit
symmetry = C2/m (12)

Cell: 4.3691 4.3691 17.1615 Å, 97.26 97.26 89.99°
Last column: nearest neighbours and their distance in Å.
Fractional positions:
La  0.0000  0.0000  0.0000  8 La 3.59-3.60, 2 Nd 3.80
La  0.2206  0.2206  0.4399  5 Sm 3.59-3.87, 1 Nd 3.63, 4 La 3.69-3.70
La  0.4448  0.4448  0.8911  5 La 3.59-3.68, 4 Nd 3.66, 1 Sm 3.75
La  0.5552  0.5552  0.1089  5 La 3.59-3.68, 4 Nd 3.66, 1 Sm 3.75
La  0.7794  0.7794  0.5601  5 Sm 3.59-3.87, 1 Nd 3.63, 4 La 3.69-3.70
Nd  0.1131  0.1131  0.2250  4 Sm 3.57, 6 La 3.63-3.80
Nd  0.8869  0.8869  0.7750  4 Sm 3.57, 6 La 3.63-3.80
Sm  0.3337  0.3337  0.6688  4 Nd 3.57, 6 La 3.59-3.87
Sm  0.6663  0.6663  0.3312  4 Nd 3.57, 6 La 3.59-3.87

***

(3)
The following is a DFT calculation (GGA-PBE) of a relaxed structure of LaNd2Sm12.

Summary:
symmetry = Cmme (67)
E_tot = -137.55 eV per cell

Cell: 6.8291 6.8291 25.2598 Å, 90.00 90.00 116.85°
Last column: nearest neighbours and their distance in Å.
Fractional positions:
La  0.2500  0.7500  0.0000  8 Sm 3.52-3.76, 2 La 3.58
La  0.7500  0.2500  0.0000  8 Sm 3.52-3.76, 2 La 3.58
Nd  0.2500  0.7500  0.2706  2 Nd 3.58, 10 Sm 3.70-3.96
Nd  0.2500  0.7500  0.7295  2 Nd 3.58, 10 Sm 3.70-3.96
Nd  0.7500  0.2500  0.2705  2 Nd 3.58, 10 Sm 3.70-3.96
Nd  0.7500  0.2500  0.7294  2 Nd 3.58, 10 Sm 3.70-3.96
Sm  0.0000  0.0000  0.0782  2 La 3.52, 8 Sm 3.56-3.66
Sm  0.0000  0.0000  0.9218  2 La 3.52, 8 Sm 3.56-3.66
Sm  0.0000  0.5000  0.1307  8 Sm 3.40-3.66, 2 La 3.75-3.76
Sm  0.0000  0.5000  0.8693  8 Sm 3.40-3.66, 2 La 3.75-3.76
Sm  0.0005  0.5005  0.5823  8 Sm 3.45-3.70
Sm  0.0006  0.9994  0.4381  7 Sm 3.13-3.46
Sm  0.2500  0.2500  0.2003  7 Sm 3.20-3.58
Sm  0.2500  0.2500  0.3271  5 Sm 3.20-3.58
Sm  0.2500  0.2500  0.6729  5 Sm 3.20-3.58
Sm  0.2500  0.2500  0.7997  7 Sm 3.20-3.58
Sm  0.4994  0.5006  0.4381  7 Sm 3.13-3.46
Sm  0.4995  0.9995  0.5823  8 Sm 3.45-3.70
Sm  0.5000  0.0000  0.1307  8 Sm 3.40-3.66, 2 La 3.75-3.76
Sm  0.5000  0.0000  0.8693  8 Sm 3.40-3.66, 2 La 3.75-3.76
Sm  0.5000  0.5000  0.0782  2 La 3.52, 8 Sm 3.56-3.66
Sm  0.5000  0.5000  0.9218  2 La 3.52, 8 Sm 3.56-3.66
Sm  0.5005  0.0005  0.4177  8 Sm 3.45-3.70
Sm  0.5006  0.4994  0.5619  7 Sm 3.13-3.46
Sm  0.7500  0.7500  0.2003  7 Sm 3.20-3.58
Sm  0.7500  0.7500  0.3271  5 Sm 3.20-3.58
Sm  0.7500  0.7500  0.6729  5 Sm 3.20-3.58
Sm  0.7500  0.7500  0.7997  7 Sm 3.20-3.58
Sm  0.9994  0.0006  0.5619  7 Sm 3.13-3.46
Sm  0.9995  0.4995  0.4177  8 Sm 3.45-3.70

***

Ordered calculated volume results: 569; 322; 1051; unit Å³ per cell.
Ordered DOS(E_F) results: 1.713; 2.249; 1.609; unit states/eV per atom.